1.
A plane-wave DFT calculation with PBE was carried out for a geometry-optimized YMg3Ga3 structure.

Computed properties:
- E_form: 0.3785 eV/atom
- VASP energy: -2.5256 eV/atom
- Calculated density: 3.2 Mg/m³
- Crystal system: cubic
- DOS at the Fermi energy: 0.93 states/eV/atom
- Total magnetic moment: 0.00 μB per cell

Lattice parameters (Å, degrees): 7.2782 7.2782 7.2782 90.00 90.00 90.00
Fractional positions:
Y: 0.0000 0.0000 0.0000
Y: 0.5000 0.5000 0.5000
Mg: 0.0000 0.2500 0.5000
Mg: 0.0000 0.7500 0.5000
Mg: 0.2500 0.5000 0.0000
Mg: 0.5000 0.0000 0.2500
Mg: 0.5000 0.0000 0.7500
Mg: 0.7500 0.5000 0.0000
Ga: 0.0000 0.5000 0.2500
Ga: 0.0000 0.5000 0.7500
Ga: 0.2500 0.0000 0.5000
Ga: 0.5000 0.2500 0.0000
Ga: 0.5000 0.7500 0.0000
Ga: 0.7500 0.0000 0.5000

***

2.
A plane-wave DFT calculation with PBE was carried out for a geometry-optimized CeIn2Rh3 structure.

Computed properties:
- E_form: -0.5861 eV/atom
- VASP energy: -6.1636 eV/atom
- Calculated density: 10.3 Mg/m³
- Crystal system: orthorhombic
- DOS at the Fermi energy: 0.51 states/eV/atom
- Energy above the most stable polymorph in this dataset: 0 meV per atom
- Total magnetic moment: 0.10 μB per cell

Lattice parameters (Å, degrees): 7.0488 7.0488 3.6392 90.00 90.00 142.75
Fractional positions:
Ce: 0.0000 0.0000 0.0000
In: 0.3291 0.6709 0.0000
In: 0.6709 0.3291 0.0000
Rh: 0.1646 0.8354 0.5000
Rh: 0.5000 0.5000 0.5000
Rh: 0.8354 0.1646 0.5000

***

3.
A plane-wave DFT calculation with PBE was carried out for a geometry-optimized Sr2MgIn4Ga3 structure.

Computed properties:
- E_form: -0.3166 eV/atom
- VASP energy: -2.8159 eV/atom
- Calculated density: 5.5 Mg/m³
- Crystal system: tetragonal
- DOS at the Fermi energy: 0.34 states/eV/atom
- Total magnetic moment: 0.00 μB per cell

Lattice parameters (Å, degrees): 4.6573 4.6573 12.1263 90.00 90.00 90.00
Fractional positions:
Sr: 0.0000 0.5000 0.2448
Sr: 0.5000 0.0000 0.7552
Mg: 0.0000 0.0000 0.5000
In: 0.0000 0.0000 0.0000
In: 0.0000 0.5000 0.6395
In: 0.5000 0.0000 0.3605
In: 0.5000 0.5000 0.0000
Ga: 0.0000 0.5000 0.8621
Ga: 0.5000 0.0000 0.1379
Ga: 0.5000 0.5000 0.5000

***

4.
A plane-wave DFT calculation with PBE was carried out for a geometry-optimized CdNi2Mo structure.

Computed properties:
- E_form: 0.4288 eV/atom
- VASP energy: -5.3984 eV/atom
- Calculated density: 9.4 Mg/m³
- Crystal system: cubic
- DOS at the Fermi energy: 0.53 states/eV/atom
- Total magnetic moment: 0.00 μB per cell

Lattice parameters (Å, degrees): 4.3325 4.3325 4.3325 60.00 60.00 60.00
Fractional positions:
Cd: 0.0000 0.0000 0.0000
Ni: 0.5000 0.5000 0.5000
Ni: 0.7500 0.7500 0.7500
Mo: 0.2500 0.2500 0.2500